Entry 1:
8
Lattice="5.296 -0.018 -0.021 -0.582 5.264 -0.021 -0.582 -0.647 5.224" Properties=species:S:1:pos:R:3 comment="CsNbF6, relaxed, DFT PBEsol" dft_energy_ev_per_cell=-48.180 e_form_raw_ev_per_atom=-3.106 space_group=R-3 m_tot_mub_per_fu=0.0 pbc="T T T"
Cs 0.000 0.000 0.000
F 1.108 0.683 3.024
F 1.345 3.185 4.144
F 3.570 1.735 3.656
F 2.787 1.412 1.039
F 3.024 3.915 2.158
F 0.562 2.863 1.526
Nb 2.066 2.299 2.591

=====

Entry 2:
52
Lattice="-4.570 6.024 1.758 -8.274 -4.873 -4.808 -2.439 -5.406 9.675" Properties=species:S:1:pos:R:3 comment="Cs7Ni4F15, relaxed, DFT PBEsol" dft_energy_ev_per_cell=-238.601 e_form_raw_ev_per_atom=-2.275 space_group=P2_1/c m_tot_mub_per_fu=8.0 pbc="T T T"
F -6.987 -4.938 7.233
F -8.347 -5.823 1.972
F -5.242 -5.931 5.473
F -3.148 -0.692 3.919
F -12.135 -3.563 2.706
F -10.461 -4.788 4.806
F -13.717 -2.474 4.561
F -4.137 -2.436 -2.404
F -11.111 -1.945 4.563
F -4.132 -3.279 4.816
F -6.917 -2.996 -2.743
F -2.083 1.107 1.848
F -8.365 -1.259 9.368
F -1.219 -2.703 4.837
F -10.899 0.164 -0.860
F -4.383 -4.419 7.485
F -4.821 0.533 1.819
F -1.565 -1.781 2.063
F -8.295 0.683 -0.609
F -13.200 -5.361 4.777
F -3.174 -0.730 -0.174
F -10.040 1.677 1.152
F -6.081 -2.194 6.633
F -11.151 -0.975 1.809
F -7.016 -3.783 4.528
F -9.201 -2.061 -0.008
F -12.109 -3.524 6.799
F -8.267 -0.471 2.097
F -6.935 1.568 4.653
F -4.172 -2.309 2.062
Cs -8.480 -4.798 -0.835
Cs -6.082 -1.373 -0.229
Cs -11.373 -6.474 2.242
Cs -5.356 -5.139 2.433
Cs -3.909 2.219 4.383
Cs -8.111 -6.565 4.925
Cs -9.200 -2.882 6.854
Cs -9.121 -1.140 -2.795
Cs -7.171 2.311 1.699
Cs -9.196 -3.170 2.707
Cs -6.802 0.543 7.460
Cs -6.086 -1.085 3.917
Cs -6.161 -3.114 9.420
Cs 0.000 0.000 0.000
Ni -12.535 -1.613 3.136
Ni -12.114 -3.734 4.768
Ni -5.402 -6.190 7.492
Ni -5.680 -3.985 5.943
Ni -2.747 -2.642 3.489
Ni -3.169 -0.521 1.856
Ni -9.603 -0.270 0.682
Ni -9.881 1.936 -0.867

=====

Entry 3:
10
Lattice="5.319 0.000 0.000 0.000 7.302 0.000 0.000 -3.651 6.324" Properties=species:S:1:pos:R:3 comment="CsNiF3, relaxed, DFT PBEsol" dft_energy_ev_per_cell=-45.900 e_form_raw_ev_per_atom=-2.014 space_group=P6_3/mmc m_tot_mub_per_fu=2.0 pbc="T T T"
Cs 3.989 0.000 4.216
Cs 1.330 3.651 2.108
F 1.330 3.651 4.821
F 3.989 2.350 5.573
F 1.330 6.001 0.752
F 1.330 1.302 0.752
F 3.989 -2.350 5.573
F 3.989 0.000 1.503
Ni 2.660 0.000 0.000
Ni 0.000 0.000 0.000

=====

Entry 4:
9
Lattice="6.208 0.000 0.000 3.104 5.376 0.000 3.104 1.792 5.069" Properties=species:S:1:pos:R:3 comment="Cs2NiF6, relaxed, DFT PBEsol" dft_energy_ev_per_cell=-39.866 e_form_raw_ev_per_atom=-2.251 space_group=Fm-3m m_tot_mub_per_fu=0.1 pbc="T T T"
Cs 9.312 5.376 3.802
Cs 3.104 1.792 1.267
Ni 0.000 0.000 0.000
F 8.045 4.645 1.035
F 8.045 2.524 4.034
F 4.371 4.645 1.035
F 6.208 5.705 4.034
F 4.371 2.524 4.034
F 6.208 1.463 1.035

=====

Entry 5:
15
Lattice="6.069 0.000 0.000 3.035 5.256 0.000 3.035 1.752 7.368" Properties=species:S:1:pos:R:3 comment="CsNiF3, relaxed, DFT PBEsol" dft_energy_ev_per_cell=-70.553 e_form_raw_ev_per_atom=-2.127 space_group=R-3m m_tot_mub_per_fu=2.0 pbc="T T T"
F 6.069 1.993 2.372
F 4.761 2.749 4.996
F 4.552 2.628 0.000
F 1.517 2.628 0.000
F 7.378 2.749 4.996
F 3.035 0.000 0.000
F 4.761 4.260 2.372
F 6.069 5.015 4.996
F 7.378 4.260 2.372
Cs 0.000 0.000 0.000
Cs 3.035 1.752 2.595
Cs 9.104 5.256 4.773
Ni 6.069 3.504 1.033
Ni 6.069 3.504 6.335
Ni 6.069 3.504 3.684

=====

Entry 6:
18
Lattice="7.096 0.000 0.000 3.548 6.145 0.122 3.548 1.933 5.834" Properties=species:S:1:pos:R:3 comment="CsNi2F6, relaxed, DFT PBEsol" dft_energy_ev_per_cell=-85.454 e_form_raw_ev_per_atom=-1.989 space_group=Imma m_tot_mub_per_fu=2.9 pbc="T T T"
Cs 7.096 4.080 0.804
Cs 7.096 3.997 5.152
F 7.096 6.541 2.619
F 9.257 2.799 2.545
F 8.484 7.297 4.901
F 12.805 7.297 4.901
F 3.548 4.523 1.131
F 1.388 0.780 1.056
F 4.936 5.278 3.412
F 4.936 2.799 2.545
F 9.257 5.278 3.412
F 7.096 1.537 3.338
F 10.644 3.555 4.826
F 5.708 0.780 1.056
Ni 0.000 0.000 0.000
Ni 1.774 0.966 2.917
Ni 3.548 4.039 2.978
Ni 5.322 0.966 2.917

=====

Entry 7:
22
Lattice="-1.561 5.462 -2.268 -7.847 -1.453 1.904 1.162 3.396 7.378" Properties=species:S:1:pos:R:3 comment="Cs3NiF7, relaxed, DFT PBEsol" dft_energy_ev_per_cell=-96.077 e_form_raw_ev_per_atom=-2.324 space_group=P4/mbm m_tot_mub_per_fu=0.1 pbc="T T T"
Ni -3.924 -0.726 0.952
Ni 0.581 1.698 3.689
F -2.534 0.022 1.796
F -4.124 3.703 3.507
F -1.634 5.496 1.298
F -2.361 3.596 6.849
F -0.723 2.308 2.622
F -4.152 1.922 7.485
F -0.451 1.998 5.121
F -6.613 1.910 5.715
F -4.975 0.622 1.488
F -6.235 -0.054 4.161
F -3.272 6.783 5.525
F -0.781 2.731 -1.134
F -7.524 5.097 4.392
F -5.886 3.809 0.165
Cs -2.972 2.937 0.871
Cs -3.343 0.972 4.641
Cs -6.761 2.603 2.674
Cs -1.486 4.803 4.340
Cs -5.275 4.468 6.143
Cs 0.000 0.000 0.000

=====

Entry 8:
16
Lattice="-6.207 0.922 0.800 -3.204 -4.136 4.918 -1.964 3.147 6.148" Properties=species:S:1:pos:R:3 comment="CsNiPdF5, relaxed, DFT PBEsol" dft_energy_ev_per_cell=-74.480 e_form_raw_ev_per_atom=-1.818 space_group=Imma m_tot_mub_per_fu=2.0 pbc="T T T"
F -6.797 -1.007 9.957
F -4.578 0.940 1.909
F -7.317 -0.467 7.288
F -4.057 0.400 4.578
F -8.406 2.112 7.374
F -2.968 -2.178 4.492
F -3.967 -0.965 6.857
F -7.408 0.898 5.010
F -1.227 0.442 1.477
F -10.147 -0.509 10.389
Cs -5.256 1.566 7.431
Cs -6.118 -1.632 4.435
Pd -0.982 1.573 3.074
Pd -4.085 2.034 3.474
Ni -2.584 -0.494 5.533
Ni 0.000 0.000 0.000

=====

Entry 9:
5
Lattice="4.558 0.000 0.000 0.000 4.558 0.000 0.000 0.000 8.863" Properties=species:S:1:pos:R:3 comment="CsRbNi2F, relaxed, DFT PBEsol" dft_energy_ev_per_cell=-12.094 e_form_raw_ev_per_atom=0.823 space_group=P4/mmm m_tot_mub_per_fu=0.3 pbc="T T T"
Ni 2.279 0.000 0.000
Ni 0.000 2.279 0.000
Rb 0.000 0.000 0.000
F 2.279 2.279 4.432
Cs 0.000 0.000 4.432

=====

Entry 10:
10
Lattice="-1.910 3.619 -0.150 -2.715 -1.729 -7.165 -6.395 -3.242 3.206" Properties=species:S:1:pos:R:3 comment="Cs2O2F, relaxed, DFT PBEsol" dft_energy_ev_per_cell=-43.587 e_form_raw_ev_per_atom=-1.497 space_group=P4/mbm m_tot_mub_per_fu=1.0 pbc="T T T"
O -8.485 -2.206 -1.079
O -4.704 -0.113 1.289
O -2.535 0.853 -3.029
O -6.316 -1.240 -5.396
F 0.000 0.000 0.000
F -4.555 -2.486 -1.979
Cs -6.681 -3.666 -3.397
Cs -5.852 -3.070 0.450
Cs -2.430 -1.305 -0.561
Cs -3.259 -1.902 -4.408

=====

Entry 11:
5
Lattice="4.343 0.000 0.000 0.000 4.343 0.000 0.000 0.000 5.158" Properties=species:S:1:pos:R:3 comment="CsOsO2F, relaxed, DFT PBEsol" dft_energy_ev_per_cell=-18.167 e_form_raw_ev_per_atom=1.484 space_group=P4/mmm m_tot_mub_per_fu=4.9 pbc="T T T"
F 0.000 0.000 2.579
O 0.000 2.172 0.000
O 2.172 0.000 0.000
Os 2.172 2.172 2.579
Cs 0.000 0.000 0.000

=====

Entry 12:
24
Lattice="6.740 0.000 0.000 0.000 8.006 0.000 0.000 0.000 8.466" Properties=species:S:1:pos:R:3 comment="CsPO2F2, relaxed, DFT PBEsol" dft_energy_ev_per_cell=-145.069 e_form_raw_ev_per_atom=-2.530 space_group=Pnma m_tot_mub_per_fu=0.0 pbc="T T T"
F 1.685 4.453 6.337
F 5.055 0.449 6.363
F 5.055 3.550 8.223
F 1.685 7.553 4.476
F 1.685 4.456 0.243
F 5.055 0.453 3.990
F 1.685 7.557 2.104
F 5.055 3.554 2.129
O 2.989 5.781 3.281
O 0.382 5.781 3.281
O 3.752 2.225 5.185
O 0.382 6.228 7.515
O 3.752 1.778 0.952
O 2.989 6.228 7.515
O 6.359 1.778 0.952
O 6.359 2.225 5.185
Cs 1.685 1.167 7.279
Cs 5.055 5.171 5.420
Cs 1.685 2.836 3.046
Cs 5.055 6.839 1.187
P 5.055 1.513 5.176
P 5.055 2.490 0.943
P 1.685 5.516 7.524
P 1.685 6.493 3.291

=====

Entry 13:
40
Lattice="-2.753 1.392 -4.617 -8.159 -1.902 4.292 1.712 12.648 2.793" Properties=species:S:1:pos:R:3 comment="CsSbPO4F3, relaxed, DFT PBEsol" dft_energy_ev_per_cell=-240.925 e_form_raw_ev_per_atom=-2.216 space_group=P2_1/m m_tot_mub_per_fu=0.0 pbc="T T T"
O -0.332 4.838 1.478
O -7.640 6.679 3.050
O -1.200 2.957 -0.062
O -8.496 0.354 1.655
O -8.856 2.857 1.134
O -8.869 7.300 0.990
O -1.560 5.460 -0.583
O -7.414 2.486 3.501
O -0.345 9.281 1.334
O -6.559 8.810 4.897
O -1.787 9.652 -1.034
O -2.642 3.328 -2.429
O -9.724 0.976 -0.406
O -8.000 9.181 2.529
O -0.705 11.784 0.813
O 0.523 11.163 2.873
P 0.224 10.643 1.405
P -9.425 1.495 1.063
P -8.569 7.819 2.458
P -0.631 4.319 0.010
Sb -3.262 5.014 -1.551
Sb -5.939 7.124 4.019
Sb -2.407 11.338 -0.156
Sb -6.794 0.800 2.623
F -4.983 1.150 3.169
F -6.125 -0.782 1.748
F -6.237 1.784 1.067
F -5.073 4.664 -2.097
F -5.381 8.108 2.463
F -4.218 10.988 -0.702
F -4.128 7.474 4.565
F -5.270 5.542 3.143
F -2.964 10.354 1.401
F -3.931 6.596 -0.675
F -3.820 4.030 0.005
F -3.075 12.920 0.720
Cs -3.229 1.049 0.572
Cs -5.972 11.089 1.896
Cs -2.373 7.373 1.968
Cs -6.828 4.765 0.499

=====

Entry 14:
5
Lattice="-2.888 2.463 -1.961 -1.663 -3.804 -2.329 -3.089 -0.811 3.530" Properties=species:S:1:pos:R:3 comment="CsPbOF2, relaxed, DFT PBEsol" dft_energy_ev_per_cell=-23.960 e_form_raw_ev_per_atom=-1.983 space_group=P4/mmm m_tot_mub_per_fu=0.0 pbc="T T T"
O -1.444 1.231 -0.981
F -1.544 -0.405 1.765
F -0.832 -1.902 -1.164
Pb 0.000 0.000 0.000
Cs -3.820 -1.076 -0.380

=====

Entry 15:
5
Lattice="3.794 0.000 0.000 0.000 3.794 0.000 0.000 0.000 6.147" Properties=species:S:1:pos:R:3 comment="CsPtO2F, relaxed, DFT PBEsol" dft_energy_ev_per_cell=-25.397 e_form_raw_ev_per_atom=-1.013 space_group=P4/mmm m_tot_mub_per_fu=0.0 pbc="T T T"
Cs 1.897 1.897 3.073
Pt 0.000 0.000 0.000
F 0.000 0.000 3.073
O 1.897 0.000 0.000
O 0.000 1.897 0.000

=====

Entry 16:
5
Lattice="-4.107 -0.214 1.409 1.456 -2.790 3.818 0.717 4.079 2.708" Properties=species:S:1:pos:R:3 comment="CsPtOF2, relaxed, DFT PBEsol" dft_energy_ev_per_cell=-14.333 e_form_raw_ev_per_atom=0.536 space_group=P4/mmm m_tot_mub_per_fu=1.1 pbc="T T T"
F 0.728 -1.395 1.909
F 0.358 2.039 1.354
Cs 0.000 0.000 0.000
O -2.054 -0.107 0.705
Pt -0.967 0.537 3.968

=====

Entry 17:
36
Lattice="-2.462 -1.792 6.485 -5.947 -4.061 -3.380 6.405 -8.547 0.069" Properties=species:S:1:pos:R:3 comment="CsReOF6, relaxed, DFT PBEsol" dft_energy_ev_per_cell=-207.426 e_form_raw_ev_per_atom=-2.308 space_group=P2_1/c m_tot_mub_per_fu=0.0 pbc="T T T"
F -1.975 -3.134 5.348
F -3.293 -6.200 -2.303
F -0.301 -3.355 -0.518
F 1.289 -8.201 5.478
F -3.091 -4.066 -1.610
F 0.369 -7.806 -1.107
F 1.087 -10.334 4.784
F 1.495 -10.384 2.565
F -1.312 -5.476 2.634
F 1.997 -8.288 1.901
F -4.000 -6.113 1.274
F -0.910 -11.070 -0.108
F -1.093 -3.330 3.282
F 1.867 -6.942 3.698
F -1.678 -9.224 -1.877
F -1.703 -11.045 3.692
F -3.871 -7.459 -0.524
F 3.294 -9.147 3.989
F -0.325 -5.177 5.051
F -5.297 -5.253 -0.815
F -3.499 -4.017 0.609
F -0.691 -8.925 0.541
F -0.028 -11.267 -2.174
F -2.372 -6.594 4.282
Cs 4.436 -9.881 1.058
Cs 1.312 -5.550 0.817
Cs -6.440 -4.520 2.117
Cs -3.315 -8.850 2.357
Re 1.409 -8.812 3.670
Re 0.017 -9.696 -1.060
Re -2.021 -4.704 4.234
Re -3.413 -5.588 -0.496
O -3.544 -4.332 3.573
O -1.774 -5.877 -0.139
O -0.230 -8.524 3.314
O 1.541 -10.069 -0.399